{"formula": "BaCoSO", "functional": "PBE with a Hubbard U", "state": "optimized geometry", "total_magnetization_mub_per_cell": 4.588, "spacegroup": "P4/nmm", "mass_density_kg_m3": 5395, "final_energy_ev_per_atom": -5.319, "cell": [[4.308, 0.000, 0.000], [0.000, 4.308, 0.000], [0.000, 0.000, 8.104]], "species": ["Co", "Co", "O", "O", "S", "S", "Ba", "Ba"], "frac_coords": [[0.750, 0.750, 0.385], [0.250, 0.250, 0.615], [0.750, 0.750, 0.142], [0.250, 0.250, 0.858], [0.250, 0.750, 0.500], [0.750, 0.250, 0.500], [0.250, 0.250, 0.171], [0.750, 0.750, 0.829]]}